No. 1
# PBE CeYSe2O, optimized geometry
# **Crystal system**: tetragonal
# **Volume**: 23.169 Å³/atom
# **Formation energy without anion corrections**: -2420.9 meV per atom
# **Magnetization**: 1.4 μB per cell
data_CeYSe2O
_chemical_formula_sum 'Ce2 Y2 Se4 O2'
_cell_length_a 4.018
_cell_length_b 4.018
_cell_length_c 14.350
_cell_angle_alpha 90.00
_cell_angle_beta 90.00
_cell_angle_gamma 90.00
_space_group_name_H-M_alt 'P 4/n m m'
_space_group_IT_number 129
loop_
_space_group_symop_operation_xyz
'x,y,z'
'-x,-y,-z'
'-y+1/2,x,z'
'y+1/2,-x,-z'
'-x+1/2,-y+1/2,z'
'x+1/2,y+1/2,-z'
'y,-x+1/2,z'
'-y,x+1/2,-z'
'x+1/2,-y,-z'
'-x+1/2,y,z'
'-y,-x,-z'
'y,x,z'
'-x,y+1/2,-z'
'x,-y+1/2,z'
'y+1/2,x+1/2,-z'
'-y+1/2,-x+1/2,z'
loop_
_atom_site_label
_atom_site_type_symbol
_atom_site_fract_x
_atom_site_fract_y
_atom_site_fract_z
Ce1 Ce 0.250 0.250 0.086
Y1 Y 0.250 0.250 0.618
Se1 Se 0.250 0.250 0.407
Se2 Se 0.250 0.250 0.809
O1 O 0.250 0.750 0.000

=====

No. 2
# PBE Ce2SiO6, optimized geometry
# **Crystal system**: tetragonal
# **Volume**: 13.018 Å³/atom
# **Formation energy without anion corrections**: -2933.4 meV per atom
# **Magnetization**: 0.0 μB per cell
data_Ce2SiO6
_chemical_formula_sum 'Ce4 Si2 O12'
_cell_length_a 4.862
_cell_length_b 4.862
_cell_length_c 9.911
_cell_angle_alpha 90.00
_cell_angle_beta 90.00
_cell_angle_gamma 90.00
_space_group_name_H-M_alt 'P 42/m n m'
_space_group_IT_number 136
_space_group_name_Hall '-P 4n 2n'
loop_
_atom_site_label
_atom_site_type_symbol
_atom_site_fract_x
_atom_site_fract_y
_atom_site_fract_z
Ce1 Ce 0.000 0.000 0.167
Si1 Si 0.000 0.000 0.500
O1 O 0.177 0.177 0.363
O2 O 0.230 0.230 0.000

=====

No. 3
# PBE CeSiO, optimized geometry
# **Crystal system**: tetragonal
# **E above lowest polymorph**: 247.1 meV per atom
# **Volume**: 16.413 Å³/atom
# **Formation energy without anion corrections**: -1819.9 meV per atom
# **Magnetization**: 1.4 μB per cell
data_CeSiO
_chemical_formula_sum 'Ce2 Si2 O2'
_cell_length_a 3.371
_cell_length_b 3.371
_cell_length_c 8.665
_cell_angle_alpha 90.00
_cell_angle_beta 90.00
_cell_angle_gamma 90.00
_space_group_name_H-M_alt 'P 4/n m m'
_space_group_IT_number 129
loop_
_space_group_symop_operation_xyz
'x,y,z'
'-x,-y,-z'
'-y+1/2,x,z'
'y+1/2,-x,-z'
'-x+1/2,-y+1/2,z'
'x+1/2,y+1/2,-z'
'y,-x+1/2,z'
'-y,x+1/2,-z'
'x+1/2,-y,-z'
'-x+1/2,y,z'
'-y,-x,-z'
'y,x,z'
'-x,y+1/2,-z'
'x,-y+1/2,z'
'y+1/2,x+1/2,-z'
'-y+1/2,-x+1/2,z'
loop_
_atom_site_label
_atom_site_type_symbol
_atom_site_fract_x
_atom_site_fract_y
_atom_site_fract_z
Ce1 Ce 0.250 0.250 0.177
Si1 Si 0.250 0.250 0.542
O1 O 0.250 0.250 0.904

=====

No. 4
# PBE CeSi2O6, optimized geometry
# **Crystal system**: monoclinic
# **Volume**: 14.640 Å³/atom
# **Formation energy without anion corrections**: -2933.4 meV per atom
# **Magnetization**: 0.0 μB per cell
data_CeSi2O6
_chemical_formula_sum 'Ce4 Si8 O24'
_cell_length_a 10.351
_cell_length_b 9.818
_cell_length_c 5.442
_cell_angle_alpha 90.00
_cell_angle_beta 107.63
_cell_angle_gamma 90.00
_space_group_name_H-M_alt 'C 1 2/c 1'
_space_group_IT_number 15
_space_group_name_Hall '-C 2yc'
loop_
_atom_site_label
_atom_site_type_symbol
_atom_site_fract_x
_atom_site_fract_y
_atom_site_fract_z
Ce1 Ce 0.000 0.130 0.250
Si1 Si 0.204 0.426 0.240
O1 O 0.128 0.061 0.655
O2 O 0.148 0.498 0.461
O3 O 0.150 0.269 0.209

=====

No. 5
# PBE Ce2SiO, optimized geometry
# **Crystal system**: trigonal
# **Volume**: 20.670 Å³/atom
# **Formation energy without anion corrections**: -1357.0 meV per atom
# **Magnetization**: 4.8 μB per cell
data_Ce2SiO
_chemical_formula_sum 'Ce6 Si3 O3'
_cell_length_a 3.6850
_cell_length_b 3.6850
_cell_length_c 21.0917
_cell_angle_alpha 90.00
_cell_angle_beta 90.00
_cell_angle_gamma 120.00
_space_group_name_H-M_alt 'R 3 m'
_space_group_IT_number 160
_space_group_name_Hall 'R 3 -2"'
loop_
_atom_site_label
_atom_site_type_symbol
_atom_site_fract_x
_atom_site_fract_y
_atom_site_fract_z
Ce1 Ce 0.0000 0.0000 0.0000
Ce2 Ce 0.0000 0.0000 0.1510
Si1 Si 0.0000 0.0000 0.5756
O1 O 0.0000 0.0000 0.4015

=====

No. 6
# PBE Ce2Si2O7, optimized geometry
# **Crystal system**: tetragonal
# **Volume**: 13.462 Å³/atom
# **Formation energy without anion corrections**: -3102.7 meV per atom
# **Magnetization**: 8.3 μB per cell
data_Ce2Si2O7
_chemical_formula_sum 'Ce16 Si16 O56'
_cell_length_a 6.873
_cell_length_b 6.873
_cell_length_c 25.079
_cell_angle_alpha 90.00
_cell_angle_beta 90.00
_cell_angle_gamma 90.00
_space_group_name_H-M_alt 'P 41'
_space_group_IT_number 76
_space_group_name_Hall 'P 4w'
loop_
_atom_site_label
_atom_site_type_symbol
_atom_site_fract_x
_atom_site_fract_y
_atom_site_fract_z
Ce1 Ce 0.029 0.668 0.000
Ce2 Ce 0.147 0.590 0.355
Ce3 Ce 0.214 0.289 0.104
Ce4 Ce 0.268 0.370 0.742
Si1 Si 0.111 0.190 0.967
Si2 Si 0.128 0.777 0.122
Si3 Si 0.211 0.528 0.223
Si4 Si 0.256 0.637 0.618
O1 O 0.004 0.994 0.490
O2 O 0.040 0.266 0.390
O3 O 0.045 0.504 0.269
O4 O 0.052 0.644 0.448
O5 O 0.071 0.164 0.592
O6 O 0.082 0.632 0.173
O7 O 0.103 0.603 0.569
O8 O 0.126 0.767 0.661
O9 O 0.233 0.435 0.843
O10 O 0.263 0.643 0.081
O11 O 0.264 0.301 0.007
O12 O 0.292 0.324 0.198
O13 O 0.330 0.380 0.496
O14 O 0.340 0.445 0.648

=====

No. 7
# PBE Ce4Si2O, optimized geometry
# **Crystal system**: tetragonal
# **Volume**: 23.847 Å³/atom
# **Formation energy without anion corrections**: -1104.9 meV per atom
# **Magnetization**: 6.1 μB per cell
data_Ce4Si2O
_chemical_formula_sum 'Ce8 Si4 O2'
_cell_length_a 4.628
_cell_length_b 4.628
_cell_length_c 15.585
_cell_angle_alpha 90.00
_cell_angle_beta 90.00
_cell_angle_gamma 90.00
_space_group_name_H-M_alt 'I 4/m m m'
_space_group_IT_number 139
_space_group_name_Hall '-I 4 2'
loop_
_atom_site_label
_atom_site_type_symbol
_atom_site_fract_x
_atom_site_fract_y
_atom_site_fract_z
Ce1 Ce 0.000 0.000 0.174
Ce2 Ce 0.000 0.500 0.000
Si1 Si 0.000 0.000 0.366
O1 O 0.000 0.000 0.000

=====

No. 8
# PBE CeSiO4, optimized geometry
# **Crystal system**: tetragonal
# **Volume**: 13.014 Å³/atom
# **Formation energy without anion corrections**: -3098.3 meV per atom
# **Magnetization**: 0.0 μB per cell
data_CeSiO4
_chemical_formula_sum 'Ce4 Si4 O16'
_cell_length_a 7.054
_cell_length_b 7.054
_cell_length_c 6.278
_cell_angle_alpha 90.00
_cell_angle_beta 90.00
_cell_angle_gamma 90.00
_space_group_name_H-M_alt 'I 41/a m d'
_space_group_IT_number 141
loop_
_space_group_symop_operation_xyz
'x,y,z'
'-x,-y,-z'
'-y+1/4,x+3/4,z+1/4'
'y+1/4,-x+3/4,-z+1/4'
'-x+1/2,-y,z+1/2'
'x+1/2,y,-z+1/2'
'y+1/4,-x+1/4,z+3/4'
'-y+1/4,x+1/4,-z+3/4'
'x,-y,-z'
'-x,y,z'
'-y+1/4,-x+1/4,-z+3/4'
'y+1/4,x+1/4,z+3/4'
'-x+1/2,y,-z+1/2'
'x+1/2,-y,z+1/2'
'y+1/4,x+3/4,-z+1/4'
'-y+1/4,-x+3/4,z+1/4'
'x+1/2,y+1/2,z+1/2'
'-x+1/2,-y+1/2,-z+1/2'
'-y+3/4,x+1/4,z+3/4'
'y+3/4,-x+1/4,-z+3/4'
'-x,-y+1/2,z'
'x,y+1/2,-z'
'y+3/4,-x+3/4,z+1/4'
'-y+3/4,x+3/4,-z+1/4'
'x+1/2,-y+1/2,-z+1/2'
'-x+1/2,y+1/2,z+1/2'
'-y+3/4,-x+3/4,-z+1/4'
'y+3/4,x+3/4,z+1/4'
'-x,y+1/2,-z'
'x,-y+1/2,z'
'y+3/4,x+1/4,-z+3/4'
'-y+3/4,-x+1/4,z+3/4'
loop_
_atom_site_label
_atom_site_type_symbol
_atom_site_fract_x
_atom_site_fract_y
_atom_site_fract_z
Ce1 Ce 0.000 0.250 0.375
Si1 Si 0.000 0.250 0.875
O1 O 0.000 0.071 0.706

=====

No. 9
# PBE Ce3SiO, optimized geometry
# **Crystal system**: triclinic
# **Volume**: 21.614 Å³/atom
# **Formation energy without anion corrections**: -1191.5 meV per atom
# **Magnetization**: 2.7 μB per cell
data_Ce3SiO
_chemical_formula_sum 'Ce6 Si2 O2'
_cell_length_a 5.900
_cell_length_b 6.064
_cell_length_c 6.629
_cell_angle_alpha 71.69
_cell_angle_beta 89.38
_cell_angle_gamma 74.38
_space_group_name_H-M_alt 'P 1'
_space_group_IT_number 1
_space_group_name_Hall 'P 1'
loop_
_atom_site_label
_atom_site_type_symbol
_atom_site_fract_x
_atom_site_fract_y
_atom_site_fract_z
Ce1 Ce 0.000 0.000 0.000
Ce2 Ce 0.011 0.486 0.526
Ce3 Ce 0.328 0.364 0.240
Ce4 Ce 0.437 0.446 0.733
Ce5 Ce 0.490 0.783 0.153
Ce6 Ce 0.837 0.974 0.501
Si1 Si 0.326 0.987 0.647
Si2 Si 0.884 0.558 0.924
O1 O 0.617 0.114 0.104
O2 O 0.665 0.391 0.446

=====

No. 10
# PBE Ce2Si2O7, optimized geometry
# **Crystal system**: monoclinic
# **Volume**: 14.542 Å³/atom
# **Formation energy without anion corrections**: -3112.0 meV per atom
# **Magnetization**: 8.0 μB per cell
data_Ce2Si2O7
_chemical_formula_sum 'Ce8 Si8 O28'
_cell_length_a 5.541
_cell_length_b 8.730
_cell_length_c 14.197
_cell_angle_alpha 90.00
_cell_angle_beta 111.32
_cell_angle_gamma 90.00
_space_group_name_H-M_alt 'P 1 21/c 1'
_space_group_IT_number 14
_space_group_name_Hall '-P 2ybc'
loop_
_atom_site_label
_atom_site_type_symbol
_atom_site_fract_x
_atom_site_fract_y
_atom_site_fract_z
Ce1 Ce 0.013 0.191 0.263
Ce2 Ce 0.331 0.103 0.588
Si1 Si 0.233 0.749 0.524
Si2 Si 0.463 0.000 0.181
O1 O 0.036 0.742 0.406
O2 O 0.070 0.648 0.080
O3 O 0.256 0.084 0.760
O4 O 0.295 0.514 0.755
O5 O 0.301 0.576 0.571
O6 O 0.457 0.677 0.331
O7 O 0.497 0.652 0.041

=====

No. 11
# PBE CeSiO, optimized geometry
# **Crystal system**: trigonal
# **E above lowest polymorph**: 0.0 meV per atom
# **Volume**: 17.836 Å³/atom
# **Formation energy without anion corrections**: -2067.0 meV per atom
# **Magnetization**: 4.5 μB per cell
data_CeSiO
_chemical_formula_sum 'Ce6 Si6 O6'
_cell_length_a 3.9327
_cell_length_b 3.9327
_cell_length_c 23.9687
_cell_angle_alpha 90.00
_cell_angle_beta 90.00
_cell_angle_gamma 120.00
_space_group_name_H-M_alt 'R -3 m'
_space_group_IT_number 166
_space_group_name_Hall '-R 3 2"'
loop_
_atom_site_label
_atom_site_type_symbol
_atom_site_fract_x
_atom_site_fract_y
_atom_site_fract_z
Ce1 Ce 0.0000 0.0000 0.1038
Si1 Si 0.0000 0.0000 0.3473
O1 O 0.0000 0.0000 0.2014

=====

No. 12
# PBE CeSiO4, optimized geometry
# **Crystal system**: tetragonal
# **Volume**: 11.578 Å³/atom
# **Formation energy without anion corrections**: -2995.4 meV per atom
# **Magnetization**: 0.0 μB per cell
data_CeSiO4
_chemical_formula_sum 'Ce2 Si2 O8'
_cell_length_a 5.467
_cell_length_b 5.467
_cell_length_c 4.648
_cell_angle_alpha 90.00
_cell_angle_beta 90.00
_cell_angle_gamma 90.00
_space_group_name_H-M_alt 'P 4/n b m'
_space_group_IT_number 125
loop_
_space_group_symop_operation_xyz
'x,y,z'
'-x,-y,-z'
'-y+1/2,x,z'
'y+1/2,-x,-z'
'-x+1/2,-y+1/2,z'
'x+1/2,y+1/2,-z'
'y,-x+1/2,z'
'-y,x+1/2,-z'
'x,-y+1/2,-z'
'-x,y+1/2,z'
'-y+1/2,-x+1/2,-z'
'y+1/2,x+1/2,z'
'-x+1/2,y,-z'
'x+1/2,-y,z'
'y,x,-z'
'-y,-x,z'
loop_
_atom_site_label
_atom_site_type_symbol
_atom_site_fract_x
_atom_site_fract_y
_atom_site_fract_z
Ce1 Ce 0.250 0.250 0.000
Si1 Si 0.250 0.750 0.500
O1 O 0.086 0.586 0.266

=====

No. 13
# PBE Ce6SiO12, optimized geometry
# **Crystal system**: trigonal
# **Volume**: 14.374 Å³/atom
# **Formation energy without anion corrections**: -3257.9 meV per atom
# **Magnetization**: 12.2 μB per cell
data_Ce6SiO12
_chemical_formula_sum 'Ce18 Si3 O36'
_cell_length_a 9.9857
_cell_length_b 9.9857
_cell_length_c 9.4881
_cell_angle_alpha 90.00
_cell_angle_beta 90.00
_cell_angle_gamma 120.00
_space_group_name_H-M_alt 'R -3'
_space_group_IT_number 148
_space_group_name_Hall '-R 3'
loop_
_atom_site_label
_atom_site_type_symbol
_atom_site_fract_x
_atom_site_fract_y
_atom_site_fract_z
Ce1 Ce 0.0535 0.7940 0.1596
Si1 Si 0.0000 0.0000 0.5000
O1 O 0.0368 0.8101 0.9038
O2 O 0.0408 0.8648 0.3949

=====

No. 14
# PBE Ce10Si8O3, optimized geometry
# **Crystal system**: hexagonal
# **Volume**: 20.969 Å³/atom
# **Formation energy without anion corrections**: -1286.4 meV per atom
# **Magnetization**: 7.6 μB per cell
data_Ce10Si8O3
_chemical_formula_sum 'Ce10 Si8 O3'
_cell_length_a 10.6247
_cell_length_b 10.6247
_cell_length_c 4.5044
_cell_angle_alpha 90.00
_cell_angle_beta 90.00
_cell_angle_gamma 120.00
_space_group_name_H-M_alt 'P 6/m m m'
_space_group_IT_number 191
_space_group_name_Hall '-P 6 2'
loop_
_atom_site_label
_atom_site_type_symbol
_atom_site_fract_x
_atom_site_fract_y
_atom_site_fract_z
Ce1 Ce 0.0000 0.0000 0.0000
Ce2 Ce 0.0000 0.5000 0.5000
Ce3 Ce 0.2122 0.4245 0.0000
Si1 Si 0.0000 0.2223 0.5000
Si2 Si 0.3333 0.6667 0.5000
O1 O 0.0000 0.5000 0.0000

=====

No. 15
# PBE Sr2CeSiO6, optimized geometry
# **Crystal system**: cubic
# **Volume**: 13.177 Å³/atom
# **Formation energy without anion corrections**: -2967.7 meV per atom
# **Magnetization**: 0.0 μB per cell
data_Sr2CeSiO6
_chemical_formula_sum 'Sr8 Ce4 Si4 O24'
_cell_length_a 8.078
_cell_length_b 8.078
_cell_length_c 8.078
_cell_angle_alpha 90.00
_cell_angle_beta 90.00
_cell_angle_gamma 90.00
_space_group_name_H-M_alt 'F m -3 m'
_space_group_IT_number 225
_space_group_name_Hall '-F 4 2 3'
loop_
_atom_site_label
_atom_site_type_symbol
_atom_site_fract_x
_atom_site_fract_y
_atom_site_fract_z
Sr1 Sr 0.250 0.250 0.250
Ce1 Ce 0.000 0.000 0.000
Si1 Si 0.000 0.000 0.500
O1 O 0.000 0.000 0.275

=====

No. 16
# PBE SrCeSi2O6, optimized geometry
# **Crystal system**: monoclinic
# **Volume**: 13.769 Å³/atom
# **Formation energy without anion corrections**: -2783.3 meV per atom
# **Magnetization**: 0.0 μB per cell
data_SrCeSi2O6
_chemical_formula_sum 'Sr4 Ce4 Si8 O24'
_cell_length_a 7.459
_cell_length_b 10.756
_cell_length_c 7.347
_cell_angle_alpha 90.00
_cell_angle_beta 110.88
_cell_angle_gamma 90.00
_space_group_name_H-M_alt 'C 1 2/c 1'
_space_group_IT_number 15
_space_group_name_Hall '-C 2yc'
loop_
_atom_site_label
_atom_site_type_symbol
_atom_site_fract_x
_atom_site_fract_y
_atom_site_fract_z
Sr1 Sr 0.000 0.219 0.250
Ce1 Ce 0.000 0.404 0.750
Si1 Si 0.153 0.087 0.735
O1 O 0.121 0.408 0.102
O2 O 0.133 0.227 0.634
O3 O 0.179 0.046 0.133